1.
Below is an optimized crystal structure of LaMg2Ag, with properties calculated at the GGA-PBE level.

Results
Calculated density ... 4.40 Mg/m³
Calculated formation energy ... 0.11 eV per atom
DOS(E_F) ... 7.1 states/eV per cell

a b c (Å): 4.4407 4.4407 11.7330
angles (deg): 79.09 79.09 90.00
Closest atoms and distances in Å follow each position.
Positions (direct):
Mg 0.5917 0.1250 0.2500  2 Mg 2.94, 2 Ag 3.19, 2 La 3.29
Mg 0.1583 0.6250 0.2500  2 Mg 2.94, 2 Ag 3.19, 2 La 3.29
Mg 0.3750 0.4083 0.7500  2 Mg 2.94, 2 Ag 3.19, 2 La 3.29
Mg 0.8750 0.8417 0.7500  2 Mg 2.94, 2 Ag 3.19, 2 La 3.29
Ag 0.5000 0.5000 0.0000  4 La 3.14, 4 Mg 3.19
Ag 0.2500 0.7500 0.5000  4 La 3.14, 4 Mg 3.19
La 0.0000 0.0000 0.0000  4 Ag 3.14, 4 Mg 3.29
La 0.7500 0.2500 0.5000  4 Ag 3.14, 4 Mg 3.29



2.
Below is an optimized crystal structure of La3Mg2Ag4, with properties calculated at the GGA-PBE level.

Results
Calculated density ... 6.49 Mg/m³
Calculated formation energy ... -0.26 eV per atom
DOS(E_F) ... 7.1 states/eV per cell

a b c (Å): 4.9482 6.1927 9.2735
angles (deg): 115.78 90.00 113.55
Closest atoms and distances in Å follow each position.
Positions (direct):
La 0.6463 0.2925 0.6863  7 Ag 3.18-3.43, 4 Mg 3.38-3.42, 1 La 3.48
La 0.0000 0.0000 0.0000  8 Ag 3.39-3.47, 4 Mg 3.63, 2 La 3.68
La 0.3537 0.7075 0.3137  7 Ag 3.18-3.43, 4 Mg 3.38-3.42, 1 La 3.48
Mg 0.6550 0.3100 0.3229  4 Ag 2.85-2.94
Mg 0.3450 0.6900 0.6771  4 Ag 2.85-2.94
Ag 0.7231 0.4462 0.0642  1 Mg 2.85, 2 Ag 2.93, 1 La 3.18
Ag 0.2769 0.5538 0.9358  1 Mg 2.85, 2 Ag 2.93, 1 La 3.18
Ag 0.9275 0.8550 0.5996  3 Mg 2.86-2.94, 1 Ag 3.00
Ag 0.0725 0.1450 0.4004  3 Mg 2.86-2.94, 1 Ag 3.00



3.
Below is an optimized crystal structure of LaMg2Ag, with properties calculated at the GGA-PBE level.

Results
Calculated density ... 4.85 Mg/m³
Calculated formation energy ... 0.03 eV per atom
DOS(E_F) ... 2.8 states/eV per cell

a b c (Å): 10.5461 10.5461 10.5461
angles (deg): 18.32 18.32 18.32
Closest atoms and distances in Å follow each position.
Positions (direct):
Ag 0.5084 0.5084 0.5084  3 Mg 2.86
La 0.7549 0.7549 0.7549  3 Ag 3.32, 6 La 3.36, 3 Mg 3.51
Mg 0.9942 0.9942 0.9942  9 Mg 3.28-3.36, 3 La 3.51
Mg 0.2426 0.2426 0.2426  3 Ag 2.86